Entry 1:
Density functional theory data (PBE) for a geometry-optimized Zr5Fe2Bi structure.

Unit cell a=7.0747 b=7.0747 c=13.3515 alpha=90.00 beta=90.00 gamma=90.00
Closest atoms and distances in Å follow each position.
Space group I4/mcm (No. 140)
One atom of each set of equivalent atoms:
Zr 0.0000 0.0000 0.0000 [4 per cell]  4 Fe 2.73
Zr 0.1555 0.3445 0.1269 [16 per cell]  3 Fe 2.66-2.69
Fe 0.1399 0.3601 0.5000 [8 per cell]  8 Zr 2.66-2.73, 1 Fe 2.80
Bi 0.0000 0.0000 0.2500 [4 per cell]  10 Zr 3.14-3.34

Its magnetic moment is 0.000 μB per atom. The energy is -8.134 eV/atom.

=====

Entry 2:
Density functional theory data (PBE) for a geometry-optimized ZrFeBi3 structure.

Unit cell a=5.1019 b=5.1019 c=5.1019 alpha=90.00 beta=90.00 gamma=90.00
Closest atoms and distances in Å follow each position.
Space group Pm-3m (No. 221)
One atom of each set of equivalent atoms:
Zr 0.0000 0.0000 0.0000 [1 per cell]  12 Bi 3.61
Fe 0.5000 0.5000 0.5000 [1 per cell]  6 Bi 2.55
Bi 0.0000 0.5000 0.5000 [3 per cell]  2 Fe 2.55

As for the energy relative to the lowest polymorph listed for this composition: 0 meV/atom. Its magnetic moment is 0.000 μB per atom. The energy is -5.066 eV/atom.

=====

Entry 3:
Density functional theory data (PBE) for a geometry-optimized Zr3FeBi structure.

Unit cell a=5.3412 b=5.3412 c=5.3412 alpha=90.00 beta=90.00 gamma=90.00
Closest atoms and distances in Å follow each position.
Space group Pm-3m (No. 221)
One atom of each set of equivalent atoms:
Zr 0.0000 0.0000 0.5000 [3 per cell]  2 Bi 2.67
Fe 0.5000 0.5000 0.5000 [1 per cell]  12 Zr 3.78
Bi 0.0000 0.0000 0.0000 [1 per cell]  6 Zr 2.67

As for the energy relative to the lowest polymorph listed for this composition: 1888 meV/atom. Its magnetic moment is 0.070 μB per atom. The energy is -5.866 eV/atom.